Record 1
Material: CsOsRuC2
Method: DFT, PBE
State: optimized geometry

The structure in CIF format:
```
data_CsOsRuC2
_cell_length_a 4.001
_cell_length_b 4.001
_cell_length_c 5.402
_cell_angle_alpha 90.00
_cell_angle_beta 90.00
_cell_angle_gamma 90.00
_symmetry_space_group_name_H-M 'P 4/m m m'
_symmetry_Int_Tables_number 123
_symmetry_space_group_name_Hall '-P 4 2'
loop_
_atom_site_label
_atom_site_fract_x
_atom_site_fract_y
_atom_site_fract_z
Cs1 0.000 0.000 0.000
Os1 0.500 0.500 0.500
Ru1 0.500 0.500 0.000
C1 0.000 0.500 0.500
```

energy of formation from the pure elements	1.73	eV/atom
calculated total energy	-6.229	eV per atom

Record 2
Material: CsPC
Method: DFT, PBE
State: optimized geometry

The structure in CIF format:
```
data_CsPC
_cell_length_a 6.1792
_cell_length_b 6.1792
_cell_length_c 9.7543
_cell_angle_alpha 90.00
_cell_angle_beta 90.00
_cell_angle_gamma 120.00
_symmetry_space_group_name_H-M 'R 3 m'
_symmetry_Int_Tables_number 160
_symmetry_space_group_name_Hall 'R 3 -2"'
loop_
_atom_site_label
_atom_site_fract_x
_atom_site_fract_y
_atom_site_fract_z
Cs1 0.0000 0.0000 0.0000
P1 0.0000 0.0000 0.4944
C1 0.0000 0.0000 0.6585
```

energy of formation from the pure elements	0.51	eV/atom
calculated total energy	-4.656	eV per atom

Record 3
Material: CsPC
Method: DFT, PBE
State: optimized geometry

The structure in CIF format:
```
data_CsPC
_cell_length_a 3.895
_cell_length_b 5.939
_cell_length_c 14.152
_cell_angle_alpha 90.00
_cell_angle_beta 90.00
_cell_angle_gamma 90.00
_symmetry_space_group_name_H-M 'I m m m'
_symmetry_Int_Tables_number 71
_symmetry_space_group_name_Hall '-I 2 2'
loop_
_atom_site_label
_atom_site_fract_x
_atom_site_fract_y
_atom_site_fract_z
Cs1 0.000 0.000 0.141
P1 0.000 0.000 0.404
C1 0.178 0.500 0.000
```

energy of formation from the pure elements	-0.01	eV/atom
calculated total energy	-5.176	eV per atom

Record 4
Material: CsPC3
Method: DFT, PBE
State: optimized geometry

The structure in CIF format:
```
data_CsPC3
_cell_length_a 3.981
_cell_length_b 3.981
_cell_length_c 3.981
_cell_angle_alpha 90.00
_cell_angle_beta 90.00
_cell_angle_gamma 90.00
_symmetry_space_group_name_H-M 'P m -3 m'
_symmetry_Int_Tables_number 221
_symmetry_space_group_name_Hall '-P 4 2 3'
loop_
_atom_site_label
_atom_site_fract_x
_atom_site_fract_y
_atom_site_fract_z
Cs1 0.000 0.000 0.000
P1 0.500 0.500 0.500
C1 0.000 0.500 0.500
```

energy of formation from the pure elements	2.50	eV/atom
calculated total energy	-4.286	eV per atom